# Tl2In3Hg4 | Alexandria | PBE-GGA | optimized geometry
# ρ, Mg/m³: 10.0
# DFT formation energy, kJ/mol of formula units: 6
# DFT total energy, eV per atom: -1.57
# Fermi-level density of states, states/eV per atom: 0.45
data_Tl2In3Hg4
_space_group_name_H-M_alt 'C m c e'
_space_group_IT_number 64
_space_group_name_Hall '-C 2ac 2'
_cell_length_a 6.958
_cell_length_b 16.842
_cell_length_c 8.804
_cell_angle_alpha 90.00
_cell_angle_beta 90.00
_cell_angle_gamma 90.00
loop_
_atom_site_label
_atom_site_fract_x
_atom_site_fract_y
_atom_site_fract_z
_atom_site_occupancy
Tl1 0.000 0.107 0.084 1
In1 0.000 0.000 0.500 1
In2 0.250 0.223 0.750 1
Hg1 0.000 0.180 0.463 1
Hg2 0.250 0.045 0.750 1